! SmSi4Pd4 (PBE, optimized geometry); values from VASP
&SYSTEM
  ibrav = 0, nat = 18, ntyp = 3
/
ATOMIC_SPECIES
Sm 150.36 Sm.upf
Si 28.09 Si.upf
Pd 106.42 Pd.upf
CELL_PARAMETERS angstrom
6.0385 0.0000 0.0000
0.0000 6.0385 0.0000
0.0000 0.0000 8.2562
ATOMIC_POSITIONS angstrom
Sm 1.5096 4.5289 2.0640
Sm 4.5289 1.5096 6.1921
Si 0.2987 1.5096 0.6161
Si 1.5096 0.2987 4.7441
Si 1.5096 2.7206 4.7441
Si 2.7206 1.5096 0.6161
Si 3.3179 4.5289 7.6401
Si 4.5289 3.3179 3.5120
Si 4.5289 5.7398 3.5120
Si 5.7398 4.5289 7.6401
Pd 0.1003 1.5096 3.0658
Pd 1.5096 0.1003 7.1939
Pd 1.5096 2.9189 7.1939
Pd 2.9189 1.5096 3.0658
Pd 3.1195 4.5289 5.1904
Pd 4.5289 3.1195 1.0623
Pd 4.5289 5.9382 1.0623
Pd 5.9382 4.5289 5.1904
! VASP energy in eV per cell: -106.1
! Raw formation energy in eV per atom: -0.65
! Total magnetization in μB per cell: 0.00
! Volume in Å³/atom: 16.7

! SmSi2Pd8 (PBE, optimized geometry); values from VASP
&SYSTEM
  ibrav = 0, nat = 11, ntyp = 3
/
ATOMIC_SPECIES
Sm 150.36 Sm.upf
Si 28.09 Si.upf
Pd 106.42 Pd.upf
CELL_PARAMETERS angstrom
5.5841 0.0000 0.0000
0.0000 5.5841 0.0000
0.0000 0.0000 6.9666
ATOMIC_POSITIONS angstrom
Sm 0.0000 0.0000 0.0000
Si 0.0000 2.7920 3.4833
Si 2.7920 0.0000 3.4833
Pd 1.4273 1.4273 2.0453
Pd 1.4273 1.4273 4.9213
Pd 1.4273 4.1568 2.0453
Pd 1.4273 4.1568 4.9213
Pd 4.1568 1.4273 2.0453
Pd 4.1568 1.4273 4.9213
Pd 4.1568 4.1568 2.0453
Pd 4.1568 4.1568 4.9213
! VASP energy in eV per cell: -61.0
! Raw formation energy in eV per atom: -0.36
! Total magnetization in μB per cell: 0.00
! Volume in Å³/atom: 19.7

! SmSiPd2 (PBE, optimized geometry); values from VASP
&SYSTEM
  ibrav = 0, nat = 16, ntyp = 3
/
ATOMIC_SPECIES
Sm 150.36 Sm.upf
Si 28.09 Si.upf
Pd 106.42 Pd.upf
CELL_PARAMETERS angstrom
7.4807 0.0000 0.0000
0.0000 6.9911 0.0000
0.0000 0.0000 5.6306
ATOMIC_POSITIONS angstrom
Sm 0.2167 1.7478 0.7988
Sm 3.5236 5.2433 3.6141
Sm 3.9571 1.7478 2.0165
Sm 7.2640 5.2433 4.8318
Si 0.9252 5.2433 2.0052
Si 2.8151 1.7478 4.8206
Si 4.6656 5.2433 0.8101
Si 6.5555 1.7478 3.6254
Pd 1.3125 0.3663 3.3436
Pd 1.3125 3.1292 3.3436
Pd 2.4278 3.8618 0.5282
Pd 2.4278 6.6247 0.5282
Pd 5.0529 0.3663 5.1024
Pd 5.0529 3.1292 5.1024
Pd 6.1682 3.8618 2.2871
Pd 6.1682 6.6247 2.2871
! VASP energy in eV per cell: -97.1
! Raw formation energy in eV per atom: -0.94
! Total magnetization in μB per cell: 0.00
! Volume in Å³/atom: 18.4

! Sm2Si2Pd3 (PBE, optimized geometry); values from VASP
&SYSTEM
  ibrav = 0, nat = 7, ntyp = 3
/
ATOMIC_SPECIES
Sm 150.36 Sm.upf
Si 28.09 Si.upf
Pd 106.42 Pd.upf
CELL_PARAMETERS angstrom
5.2479 -1.9742 0.0000
5.2479 1.9742 0.0000
-2.9660 0.0000 6.4211
ATOMIC_POSITIONS angstrom
Sm 0.6009 0.0000 1.7396
Sm 6.9288 0.0000 4.6815
Si -0.5592 0.0000 4.6432
Si 8.0889 0.0000 1.7778
Pd 3.6730 0.0000 0.4264
Pd 3.7649 0.0000 3.2105
Pd 3.8567 0.0000 5.9947
! VASP energy in eV per cell: -42.1
! Raw formation energy in eV per atom: -0.89
! Total magnetization in μB per cell: 0.00
! Volume in Å³/atom: 19.0

! Sm3SiPd3 (PBE, optimized geometry); values from VASP
&SYSTEM
  ibrav = 0, nat = 14, ntyp = 3
/
ATOMIC_SPECIES
Sm 150.36 Sm.upf
Si 28.09 Si.upf
Pd 106.42 Pd.upf
CELL_PARAMETERS angstrom
5.3198 -2.0276 0.0000
5.3198 2.0276 0.0000
-4.5877 0.0000 14.5146
ATOMIC_POSITIONS angstrom
Sm -1.5862 0.0000 5.6002
Sm -3.1349 0.0000 13.3916
Sm 1.5160 0.0000 3.3828
Sm 4.5360 0.0000 11.1318
Sm 9.1868 0.0000 1.1230
Sm 7.6381 0.0000 8.9144
Si -0.0044 0.0000 8.9347
Si 6.0564 0.0000 5.5798
Pd 1.4151 0.0000 6.7682
Pd -0.1829 0.0000 13.4080
Pd 1.4895 0.0000 11.0729
Pd 4.5625 0.0000 3.4417
Pd 6.2348 0.0000 1.1066
Pd 4.6368 0.0000 7.7464
! VASP energy in eV per cell: -82.1
! Raw formation energy in eV per atom: -0.84
! Total magnetization in μB per cell: 0.00
! Volume in Å³/atom: 22.4

! SmSi2Pd6 (PBE, optimized geometry); values from VASP
&SYSTEM
  ibrav = 0, nat = 9, ntyp = 3
/
ATOMIC_SPECIES
Sm 150.36 Sm.upf
Si 28.09 Si.upf
Pd 106.42 Pd.upf
CELL_PARAMETERS angstrom
5.5873 0.0000 0.0000
-2.7936 4.8387 0.0000
0.0000 0.0000 6.3264
ATOMIC_POSITIONS angstrom
Sm 0.0000 0.0000 0.0000
Si 0.0000 3.2258 3.1632
Si 2.7936 1.6129 3.1632
Pd -1.3968 2.4194 1.3876
Pd -1.3968 2.4194 4.9387
Pd 2.7936 0.0000 1.3876
Pd 2.7936 0.0000 4.9387
Pd 1.3968 2.4194 1.3876
Pd 1.3968 2.4194 4.9387
! VASP energy in eV per cell: -52.1
! Raw formation energy in eV per atom: -0.60
! Total magnetization in μB per cell: 0.00
! Volume in Å³/atom: 19.0

! Sm12SiPd6 (PBE, optimized geometry); values from VASP
&SYSTEM
  ibrav = 0, nat = 19, ntyp = 3
/
ATOMIC_SPECIES
Sm 150.36 Sm.upf
Si 28.09 Si.upf
Pd 106.42 Pd.upf
CELL_PARAMETERS angstrom
6.4631 3.7315 3.9770
-6.4631 3.7315 3.9770
0.0000 -7.4630 3.9770
ATOMIC_POSITIONS angstrom
Sm -5.5429 -1.4380 6.5497
Sm -1.5261 -5.5193 5.3813
Sm -2.5690 -0.2497 4.6477
Sm -4.0168 4.0813 5.3813
Sm 1.5007 -2.1000 4.6476
Sm -1.0683 -2.3497 7.2834
Sm 1.0683 2.3497 4.6476
Sm -1.5007 2.1000 7.2834
Sm 4.0168 -4.0813 6.5497
Sm 2.5690 0.2497 7.2834
Sm 1.5261 5.5193 6.5497
Sm 5.5429 1.4380 5.3813
Si 0.0000 0.0000 0.0000
Pd -1.2098 -2.8839 4.2656
Pd -1.8926 2.4896 4.2656
Pd -3.1024 -0.3942 7.6655
Pd 3.1024 0.3942 4.2656
Pd 1.8926 -2.4896 7.6655
Pd 1.2098 2.8839 7.6655
! VASP energy in eV per cell: -101.8
! Raw formation energy in eV per atom: -0.45
! Total magnetization in μB per cell: 0.00
! Volume in Å³/atom: 30.3

! SmSiPd (PBE, optimized geometry); values from VASP
&SYSTEM
  ibrav = 0, nat = 18, ntyp = 3
/
ATOMIC_SPECIES
Sm 150.36 Sm.upf
Si 28.09 Si.upf
Pd 106.42 Pd.upf
CELL_PARAMETERS angstrom
-2.1885 10.7833 3.7754
2.1885 -10.7833 3.7754
2.1885 10.7833 -3.7754
ATOMIC_POSITIONS angstrom
Sm 0.0000 0.0000 0.0000
Sm 2.1885 -7.2111 3.0481
Sm 2.1885 -3.6259 3.7308
Sm 2.1885 0.0000 3.0570
Sm 2.1885 3.6259 3.7308
Sm 2.1885 7.2111 3.0481
Si 2.1885 8.6897 -1.5819
Si 2.1885 4.9979 0.8200
Si 0.0000 2.0937 2.1935
Si 0.0000 9.4823 2.1852
Si 0.0000 12.0843 2.1852
Si 0.0000 5.7854 4.5954
Pd 2.1885 -2.2769 0.8922
Pd 2.1885 5.7892 -1.6584
Pd 2.1885 2.2769 0.8922
Pd 0.0000 4.9941 2.1170
Pd 2.1885 9.2508 0.9121
Pd 0.0000 1.5325 4.6875
! VASP energy in eV per cell: -109.0
! Raw formation energy in eV per atom: -0.95
! Total magnetization in μB per cell: 0.00
! Volume in Å³/atom: 19.8

! SmSi3Pd (PBE, optimized geometry); values from VASP
&SYSTEM
  ibrav = 0, nat = 5, ntyp = 3
/
ATOMIC_SPECIES
Sm 150.36 Sm.upf
Si 28.09 Si.upf
Pd 106.42 Pd.upf
CELL_PARAMETERS angstrom
-2.1608 2.1608 4.7798
2.1608 -2.1608 4.7798
2.1608 2.1608 -4.7798
ATOMIC_POSITIONS angstrom
Sm 0.0000 0.0000 0.0000
Si 2.1608 0.0000 2.5035
Si 0.0000 0.0000 3.7563
Si 0.0000 2.1608 2.5035
Pd 0.0000 0.0000 6.1533
! VASP energy in eV per cell: -29.4
! Raw formation energy in eV per atom: -0.64
! Total magnetization in μB per cell: 0.00
! Volume in Å³/atom: 17.9

! Sm3Si4Pd (PBE, optimized geometry); values from VASP
&SYSTEM
  ibrav = 0, nat = 8, ntyp = 3
/
ATOMIC_SPECIES
Sm 150.36 Sm.upf
Si 28.09 Si.upf
Pd 106.42 Pd.upf
CELL_PARAMETERS angstrom
-2.2037 2.8591 7.3641
2.2037 -2.8591 7.3641
2.2037 2.8591 -7.3641
ATOMIC_POSITIONS angstrom
Sm 0.0000 0.0000 0.0000
Sm 2.2037 0.0000 4.5309
Sm 0.0000 2.8591 2.8332
Si 2.2037 1.1830 -1.7635
Si 2.2037 1.1830 1.7635
Si 0.0000 1.6761 5.6006
Si 0.0000 1.6761 9.1277
Pd 0.0000 0.0000 7.3641
! VASP energy in eV per cell: -46.2
! Raw formation energy in eV per atom: -0.65
! Total magnetization in μB per cell: 0.00
! Volume in Å³/atom: 23.2

! SmSi2Pd (PBE, optimized geometry); values from VASP
&SYSTEM
  ibrav = 0, nat = 32, ntyp = 3
/
ATOMIC_SPECIES
Sm 150.36 Sm.upf
Si 28.09 Si.upf
Pd 106.42 Pd.upf
CELL_PARAMETERS angstrom
13.5778 0.0000 0.0000
0.0000 4.1207 0.0000
0.0000 0.0000 10.6425
ATOMIC_POSITIONS angstrom
Sm 0.6905 1.0302 2.6272
Sm 2.7106 3.0905 10.4209
Sm 4.0783 1.0302 5.0997
Sm 6.0984 3.0905 7.9485
Sm 7.4794 1.0302 2.6940
Sm 9.4995 3.0905 5.5428
Sm 10.8672 1.0302 0.2216
Sm 12.8873 3.0905 8.0153
Si 0.4003 1.0302 10.1891
Si 1.5732 1.0302 8.1717
Si 1.6948 3.0905 4.9492
Si 2.8539 3.0905 2.8914
Si 3.9350 1.0302 8.2127
Si 5.0941 1.0302 10.2705
Si 5.2157 3.0905 2.8504
Si 6.3886 3.0905 4.8679
Si 7.1892 1.0302 5.7746
Si 8.3621 1.0302 7.7921
Si 8.4837 3.0905 0.3720
Si 9.6428 3.0905 2.4298
Si 10.7239 1.0302 7.7511
Si 11.8830 1.0302 5.6933
Si 12.0046 3.0905 2.4708
Si 13.1775 3.0905 0.4534
Pd 0.8033 1.0302 5.9160
Pd 2.7712 3.0905 7.2718
Pd 4.0177 1.0302 1.9506
Pd 5.9856 3.0905 0.5947
Pd 7.5922 1.0302 10.0478
Pd 9.5601 3.0905 8.6919
Pd 10.8066 1.0302 3.3707
Pd 12.7745 3.0905 4.7265
! VASP energy in eV per cell: -192.7
! Raw formation energy in eV per atom: -0.83
! Total magnetization in μB per cell: 0.00
! Volume in Å³/atom: 18.6

! Sm2Si5Pd3 (PBE, optimized geometry); values from VASP
&SYSTEM
  ibrav = 0, nat = 20, ntyp = 3
/
ATOMIC_SPECIES
Sm 150.36 Sm.upf
Si 28.09 Si.upf
Pd 106.42 Pd.upf
CELL_PARAMETERS angstrom
-4.9976 5.8717 2.9837
4.9976 -5.8717 2.9837
4.9976 5.8717 -2.9837
ATOMIC_POSITIONS angstrom
Sm 2.3358 1.5010 0.0000
Sm 2.3358 -1.5010 2.9837
Sm 2.6619 7.3727 0.0000
Sm 2.6619 4.3707 2.9837
Si 4.9976 -2.6402 1.4918
Si 6.5066 1.3429 0.0000
Si 0.0000 0.0000 1.4918
Si 1.5090 4.5288 0.0000
Si 4.9976 2.6402 1.4918
Si 0.0000 3.2315 1.4918
Si 3.4886 1.3429 2.9837
Si 0.0000 0.0000 4.4755
Si -1.5090 4.5288 2.9837
Si 0.0000 8.5118 1.4918
Pd 3.9029 -4.2478 2.9837
Pd 4.9976 0.0000 1.4918
Pd 3.9029 4.2478 0.0000
Pd 1.0947 1.6238 2.9837
Pd 0.0000 5.8717 1.4918
Pd 1.0947 10.1195 0.0000
! VASP energy in eV per cell: -120.8
! Raw formation energy in eV per atom: -0.83
! Total magnetization in μB per cell: 0.00
! Volume in Å³/atom: 17.5